{
  "formula": "SrPOs2",
  "functional": "PBE",
  "state": "relaxed",
  "lattice": [[2.995, 0.000, 0.000], [0.000, 4.234, 0.000], [-0.957, 0.000, 6.069]],
  "species": ["Sr", "P", "Os", "Os"],
  "frac_coords": [[0.000, 0.000, 0.000], [0.398, 0.500, 0.698], [0.368, 0.000, 0.500], [0.807, 0.500, 0.390]],
  "m_tot_mub_per_cell": 0.00,
  "formation_energy_ev_per_atom": 0.144,
  "mass_density_g_cm3": 10.77
}